# YZr2Si

Crystalline YZr2Si at its relaxed geometry (GGA-PBE, Alexandria).

uncorrected formation energy = -0.156 eV/atom
E above lowest polymorph = 131.7 meV per atom
N(E_F) = 5.540 states/eV/f.u.
raw total energy = -7.401 eV per atom
magnetic moment = 0.52 μB per formula unit

Cell and atoms, written as CIF:
```
data_YZr2Si
_chemical_formula_sum 'Y1 Zr2 Si1'
_symmetry_space_group_name_H-M 'P 1'
_symmetry_Int_Tables_number 1
_symmetry_space_group_name_Hall 'P 1'
_cell_length_a 8.9563
_cell_length_b 8.9563
_cell_length_c 8.9563
_cell_angle_alpha 23.39
_cell_angle_beta 23.39
_cell_angle_gamma 23.39
loop_
_atom_site_label
_atom_site_fract_x
_atom_site_fract_y
_atom_site_fract_z
Y1 0.0000 0.0000 0.0000
Zr1 0.2272 0.2272 0.2272
Zr2 0.7728 0.7728 0.7728
Si1 0.5000 0.5000 0.5000
```

# Y2ZrSi

Crystalline Y2ZrSi at its relaxed geometry (GGA-PBE, Alexandria).

uncorrected formation energy = -0.177 eV/atom
E above lowest polymorph = 115.5 meV per atom
N(E_F) = 4.117 states/eV/f.u.
raw total energy = -6.902 eV per atom
magnetic moment = 0.00 μB per formula unit

Cell and atoms, written as CIF:
```
data_Y2ZrSi
_chemical_formula_sum 'Y2 Zr1 Si1'
_symmetry_space_group_name_H-M 'P 1'
_symmetry_Int_Tables_number 1
_symmetry_space_group_name_Hall 'P 1'
_cell_length_a 5.7209
_cell_length_b 5.7209
_cell_length_c 5.7209
_cell_angle_alpha 134.52
_cell_angle_beta 134.52
_cell_angle_gamma 66.28
loop_
_atom_site_label
_atom_site_fract_x
_atom_site_fract_y
_atom_site_fract_z
Y1 0.0000 0.0000 0.0000
Y2 0.7500 0.2500 0.5000
Zr1 0.2500 0.7500 0.5000
Si1 0.5000 0.5000 0.0000
```

# Y2ZrSi

Crystalline Y2ZrSi at its relaxed geometry (GGA-PBE, Alexandria).

uncorrected formation energy = -0.082 eV/atom
E above lowest polymorph = 210.0 meV per atom
N(E_F) = 3.767 states/eV/f.u.
raw total energy = -6.807 eV per atom
magnetic moment = 0.00 μB per formula unit

Cell and atoms, written as CIF:
```
data_Y2ZrSi
_chemical_formula_sum 'Y2 Zr1 Si1'
_symmetry_space_group_name_H-M 'P 1'
_symmetry_Int_Tables_number 1
_symmetry_space_group_name_Hall 'P 1'
_cell_length_a 5.5335
_cell_length_b 5.5335
_cell_length_c 3.2924
_cell_angle_alpha 90.00
_cell_angle_beta 90.00
_cell_angle_gamma 108.94
loop_
_atom_site_label
_atom_site_fract_x
_atom_site_fract_y
_atom_site_fract_z
Y1 0.0000 0.5000 0.0000
Y2 0.5000 0.0000 0.0000
Zr1 0.0000 0.0000 0.5000
Si1 0.5000 0.5000 0.5000
```

# YZr2Si

Crystalline YZr2Si at its relaxed geometry (GGA-PBE, Alexandria).

uncorrected formation energy = -0.222 eV/atom
E above lowest polymorph = 65.2 meV per atom
N(E_F) = 3.813 states/eV/f.u.
raw total energy = -7.468 eV per atom
magnetic moment = 0.00 μB per formula unit

Cell and atoms, written as CIF:
```
data_YZr2Si
_chemical_formula_sum 'Y1 Zr2 Si1'
_symmetry_space_group_name_H-M 'P 1'
_symmetry_Int_Tables_number 1
_symmetry_space_group_name_Hall 'P 1'
_cell_length_a 5.6226
_cell_length_b 5.6226
_cell_length_c 5.6226
_cell_angle_alpha 135.06
_cell_angle_beta 135.06
_cell_angle_gamma 65.44
loop_
_atom_site_label
_atom_site_fract_x
_atom_site_fract_y
_atom_site_fract_z
Y1 0.0000 0.0000 0.0000
Zr1 0.2500 0.7500 0.5000
Zr2 0.7500 0.2500 0.5000
Si1 0.5000 0.5000 0.0000
```

# Y2ZrSi

Crystalline Y2ZrSi at its relaxed geometry (GGA-PBE, Alexandria).

uncorrected formation energy = -0.178 eV/atom
E above lowest polymorph = 114.4 meV per atom
N(E_F) = 2.967 states/eV/f.u.
raw total energy = -6.903 eV per atom
magnetic moment = 0.00 μB per formula unit

Cell and atoms, written as CIF:
```
data_Y2ZrSi
_chemical_formula_sum 'Y2 Zr1 Si1'
_symmetry_space_group_name_H-M 'P 1'
_symmetry_Int_Tables_number 1
_symmetry_space_group_name_Hall 'P 1'
_cell_length_a 6.1775
_cell_length_b 6.1775
_cell_length_c 6.1775
_cell_angle_alpha 143.92
_cell_angle_beta 135.29
_cell_angle_gamma 58.75
loop_
_atom_site_label
_atom_site_fract_x
_atom_site_fract_y
_atom_site_fract_z
Y1 0.2072 0.2072 0.0000
Y2 0.7928 0.7928 0.0000
Zr1 0.5000 0.0000 0.5000
Si1 0.0000 0.5000 0.5000
```

# Y2ZrSi

Crystalline Y2ZrSi at its relaxed geometry (GGA-PBE, Alexandria).

uncorrected formation energy = -0.292 eV/atom
E above lowest polymorph = 0.0 meV per atom
N(E_F) = 1.604 states/eV/f.u.
raw total energy = -7.017 eV per atom
magnetic moment = 0.00 μB per formula unit

Cell and atoms, written as CIF:
```
data_Y2ZrSi
_chemical_formula_sum 'Y2 Zr1 Si1'
_symmetry_space_group_name_H-M 'P 1'
_symmetry_Int_Tables_number 1
_symmetry_space_group_name_Hall 'P 1'
_cell_length_a 6.1578
_cell_length_b 6.1578
_cell_length_c 6.1578
_cell_angle_alpha 144.84
_cell_angle_beta 132.04
_cell_angle_gamma 60.85
loop_
_atom_site_label
_atom_site_fract_x
_atom_site_fract_y
_atom_site_fract_z
Y1 0.0000 0.0000 0.0000
Y2 0.7043 0.2043 0.5000
Zr1 0.4083 0.4083 0.0000
Si1 0.2206 0.7206 0.5000
```

Look up the N(E_F) of the first one. 5.540 states/eV/f.u.

Number 5 is which compound? Y2ZrSi